# 1
DFT (PBE-GGA) results for a geometry-optimized K2LiAlGa structure.

Computed properties:
Its symmetry is No. 123. Its uncorrected energy is -1.84 eV per atom. The calculation puts the total magnetization at 0.00 μB/cell.

The structure in CIF format:
```
data_K2LiAlGa
_chemical_formula_sum 'K2 Li1 Al1 Ga1'
_cell_length_a 6.8056
_cell_length_b 4.6636
_cell_length_c 6.8056
_cell_angle_alpha 90.00
_cell_angle_beta 90.00
_cell_angle_gamma 90.00
_space_group_name_H-M_alt 'P 1'
_space_group_IT_number 1
loop_
_space_group_symop_operation_xyz
'x,y,z'
loop_
_atom_site_label
_atom_site_type_symbol
_atom_site_fract_x
_atom_site_fract_y
_atom_site_fract_z
Li1 Li 0.5000 0.5000 0.5000
Al1 Al 0.0000 0.0000 0.0000
Ga1 Ga 0.0000 0.5000 0.0000
K1 K 0.5000 0.0000 0.0000
K2 K 0.0000 0.0000 0.5000
```

***

# 2
DFT (PBE-GGA) results for a geometry-optimized PmY3Hg4 structure.

Computed properties:
Its symmetry is No. 123. Its uncorrected energy is -3.67 eV per atom. The calculation puts the total magnetization at 1.39 μB/cell.

The structure in CIF format:
```
data_PmY3Hg4
_chemical_formula_sum 'Pm2 Y6 Hg8'
_cell_length_a 5.2716
_cell_length_b 7.5910
_cell_length_c 10.5442
_cell_angle_alpha 90.00
_cell_angle_beta 90.00
_cell_angle_gamma 90.00
_space_group_name_H-M_alt 'P 1'
_space_group_IT_number 1
loop_
_space_group_symop_operation_xyz
'x,y,z'
loop_
_atom_site_label
_atom_site_type_symbol
_atom_site_fract_x
_atom_site_fract_y
_atom_site_fract_z
Pm1 Pm 0.0000 0.5000 0.5000
Pm2 Pm 0.0000 0.5000 0.0000
Hg1 Hg 0.5000 0.2428 0.5000
Hg2 Hg 0.5000 0.2428 0.0000
Hg3 Hg 0.9993 0.2428 0.7500
Hg4 Hg 0.5000 0.7572 0.5000
Hg5 Hg 0.9993 0.7572 0.7500
Hg6 Hg 0.0007 0.2428 0.2500
Hg7 Hg 0.5000 0.7572 0.0000
Hg8 Hg 0.0007 0.7572 0.2500
Y1 Y 0.4994 0.0000 0.7500
Y2 Y 0.0000 0.0000 0.5000
Y3 Y 0.4995 0.5000 0.7500
Y4 Y 0.5005 0.5000 0.2500
Y5 Y 0.0000 0.0000 0.0000
Y6 Y 0.5006 0.0000 0.2500
```